# 1
Below is a relaxed structure of K2LaAg, with properties calculated at the PBE level.

Output
- M_tot: 0.074 μB/cell
- Space group: Cmmm, No. 65
- Crystal system: orthorhombic
- DFT formation energy: 447 meV/atom

Cell and atoms, written as POSCAR:
```
K2LaAg
1.0
3.430 -6.444 0.000
3.430 6.444 0.000
0.000 0.000 3.651
K La Ag
2 1 1
Cartesian
1.715 3.222 0.000
1.715 -3.222 0.000
0.000 0.000 1.825
3.430 0.000 1.825
```

=====

# 2
Below is a relaxed structure of KLa4Ag, with properties calculated at the PBE level.

Output
- M_tot: 0.004 μB/cell
- Space group: F-43m, No. 216
- Crystal system: cubic
- DFT formation energy: 482 meV/atom

Cell and atoms, written as POSCAR:
```
KLa4Ag
1.0
0.000 4.807 4.807
4.807 0.000 4.807
4.807 4.807 0.000
K La Ag
1 4 1
Cartesian
0.000 0.000 0.000
5.961 3.654 3.654
3.654 5.961 3.654
3.654 3.654 5.961
5.961 5.961 5.961
2.404 2.404 2.404
```

=====

# 3
Below is a relaxed structure of KLaAg2, with properties calculated at the PBE level.

Output
- M_tot: 0.093 μB/cell
- Space group: P4mm, No. 99
- Crystal system: tetragonal
- DFT formation energy: 53 meV/atom

Cell and atoms, written as POSCAR:
```
KLaAg2
1.0
3.723 0.000 0.000
0.000 3.723 0.000
0.000 0.000 9.204
K La Ag
1 1 2
Cartesian
0.000 0.000 0.000
1.861 1.861 3.719
0.000 0.000 5.583
1.861 1.861 6.834
```

=====

# 4
Below is a relaxed structure of KLaAg3, with properties calculated at the PBE level.

Output
- M_tot: 0.000 μB/cell
- Space group: Pm-3m, No. 221
- Crystal system: cubic
- DFT formation energy: 667 meV/atom

Cell and atoms, written as POSCAR:
```
KLaAg3
1.0
5.441 0.000 0.000
0.000 5.441 0.000
0.000 0.000 5.441
K La Ag
1 1 3
Cartesian
0.000 0.000 0.000
2.721 2.721 2.721
0.000 0.000 2.721
0.000 2.721 0.000
2.721 0.000 0.000
```

=====

# 5
Below is a relaxed structure of KLaAg2, with properties calculated at the PBE level.

Output
- M_tot: 0.002 μB/cell
- Space group: Imm2, No. 44
- Crystal system: orthorhombic
- DFT formation energy: 76 meV/atom

Cell and atoms, written as POSCAR:
```
KLaAg2
1.0
-1.737 2.778 5.987
1.737 -2.778 5.987
1.737 2.778 -5.987
K La Ag
1 1 2
Cartesian
0.000 0.000 0.000
1.737 0.000 3.602
0.000 0.000 6.466
0.000 2.778 2.769
```

=====

# 6
Below is a relaxed structure of KLa3Ag, with properties calculated at the PBE level.

Output
- M_tot: 1.474 μB/cell
- Space group: Pm-3m, No. 221
- Crystal system: cubic
- DFT formation energy: 328 meV/atom

Cell and atoms, written as POSCAR:
```
KLa3Ag
1.0
6.046 0.000 0.000
0.000 6.046 0.000
0.000 0.000 6.046
K La Ag
1 3 1
Cartesian
0.000 0.000 0.000
0.000 3.023 3.023
3.023 0.000 3.023
3.023 3.023 0.000
3.023 3.023 3.023
```